Computed, not measured: crystalline CsCr2FeO8 at its relaxed geometry at the PBE+U level of DFT.

The structure belongs to space group P-3 (No. 147); the cell edges are 5.4248, 5.4248 and 8.4172 Å and the angles 90.00°, 90.00° and 120.00°. The inequivalent atoms are Cs at (0.0000, 0.0000, 0.0000), Cr at (0.3333, 0.6667, 0.7035), Fe at (0.0000, 0.0000, 0.5000), O at (0.1036, 0.3356, 0.6416) and O at (0.3333, 0.6667, 0.8972).

As for the magnetization: 4.89 μB/cell. As for the crystal system: trigonal. As for the density of states at the Fermi level: 0.00 states/eV/cell.

---

Computed, not measured: crystalline CsCrFeO4 at its relaxed geometry at the PBE+U level of DFT.

The structure belongs to space group P2_1/m (No. 11); the cell edges are 5.5816, 5.3516 and 7.7396 Å and the angles 90.00°, 90.52° and 90.00°. The inequivalent atoms are Cs at (0.2321, 0.2500, 0.1042), Cr at (0.1539, 0.7500, 0.4635), Fe at (0.3608, 0.2500, 0.6305), O at (0.0878, 0.0165, 0.6410), O at (0.3423, 0.7500, 0.2513) and O at (0.4653, 0.7500, 0.5757).

As for the magnetization: 14.00 μB/cell. As for the crystal system: monoclinic.

---

Computed final energy (eV/atom) in order:
-6.520 -6.229